<w>
Density functional theory data (PBE) for a geometry-optimized LiLuNbCo structure.

Unit cell a=4.5000 b=4.5000 c=4.5000 alpha=60.00 beta=60.00 gamma=60.00
Positions (direct):
Co 0.5000 0.5000 0.5000
Li 0.7500 0.7500 0.7500
Lu 0.0000 0.0000 0.0000
Nb 0.2500 0.2500 0.2500

Computed properties:
Its space group is F-43m (216). The magnetic moment is 0.00 Bohr magnetons per cell.



<x>
Density functional theory data (PBE) for a geometry-optimized LiLuNbCo structure.

Unit cell a=4.5215 b=4.5215 c=4.5215 alpha=60.00 beta=60.00 gamma=60.00
Positions (direct):
Co 0.2500 0.2500 0.2500
Li 0.7500 0.7500 0.7500
Lu 0.0000 0.0000 0.0000
Nb 0.5000 0.5000 0.5000

Computed properties:
Its space group is F-43m (216). The magnetic moment is 0.03 Bohr magnetons per cell.



Most stable: <x>. Least stable: <w>.



<w>
Density functional theory data (PBE) for a geometry-optimized LiLuCoPb structure.

Unit cell a=4.6375 b=4.6375 c=4.6375 alpha=60.00 beta=60.00 gamma=60.00
Positions (direct):
Co 0.7500 0.7500 0.7500
Li 0.2500 0.2500 0.2500
Lu 0.5000 0.5000 0.5000
Pb 0.0000 0.0000 0.0000

Computed properties:
Its space group is F-43m (216). The magnetic moment is 0.06 Bohr magnetons per cell.



<x>
Density functional theory data (PBE) for a geometry-optimized LiLuCoPb structure.

Unit cell a=4.7307 b=4.7307 c=4.7307 alpha=60.00 beta=60.00 gamma=60.00
Site moments in Bohr magnetons follow the coordinates.
Positions (direct):
Co 0.7500 0.7500 0.7500  -0.92
Li 0.5000 0.5000 0.5000  0.03
Lu 0.2500 0.2500 0.2500  0.08
Pb 0.0000 0.0000 0.0000  -0.01

Computed properties:
Its space group is F-43m (216). The magnetic moment is 0.74 Bohr magnetons per cell.



Most stable: <w>. Least stable: <x>.



<w>
Density functional theory data (PBE) for a geometry-optimized LiLuCoS3 structure.

Unit cell a=3.6806 b=6.2817 c=10.1248 alpha=90.00 beta=90.00 gamma=72.96
Site moments in Bohr magnetons follow the coordinates.
Positions (direct):
Co 0.5170 0.9660 0.2500  1.68
Co 0.4830 0.0340 0.7500  1.68
Li 0.2257 0.5485 0.2500  0.00
Li 0.7743 0.4515 0.7500  0.00
Lu 0.0000 0.0000 0.0000  0.03
Lu 0.0000 0.0000 0.5000  0.03
S 0.6406 0.7188 0.0834  0.09
S 0.9121 0.1758 0.2500  0.12
S 0.6406 0.7188 0.4166  0.09
S 0.3594 0.2812 0.5834  0.09
S 0.0879 0.8242 0.7500  0.12
S 0.3594 0.2812 0.9166  0.09

Computed properties:
Its space group is Cmcm (63). The magnetic moment is 4.58 Bohr magnetons per cell.



<x>
Density functional theory data (PBE) for a geometry-optimized LiLuCoS3 structure.

Unit cell a=7.4027 b=3.7028 c=9.0139 alpha=90.00 beta=102.65 gamma=90.00
Site moments in Bohr magnetons follow the coordinates.
Positions (direct):
Co 0.4205 0.7500 0.4111  0.99
Co 0.5795 0.2500 0.5889  0.99
Li 0.6711 0.2500 0.1423  0.00
Li 0.3289 0.7500 0.8577  0.00
Lu 0.1704 0.2500 0.1527  0.01
Lu 0.8296 0.7500 0.8473  0.01
S 0.9126 0.7500 0.1505  0.01
S 0.4278 0.7500 0.1586  0.05
S 0.2920 0.2500 0.4652  0.09
S 0.7080 0.7500 0.5348  0.09
S 0.5722 0.2500 0.8414  0.05
S 0.0874 0.2500 0.8495  0.01

Computed properties:
Its space group is P2_1/m (11). The magnetic moment is 2.57 Bohr magnetons per cell.



Most stable: <x>. Least stable: <w>.